Ca2LaGaFe2O8 | GGA+U | relaxed

Cell lengths 5.5526, 11.3627, 5.6107 Å; angles 90.00, 90.11, 90.00 degrees
Space group Pm (No. 6)
Asymmetric unit:
Ca 0.0000 0.1841 0.0000 [2 per cell]
Ca 0.5004 0.1844 0.4549 [2 per cell]
La 0.4309 0.5000 0.4695 [1 per cell]
La 0.9321 0.5000 0.9867 [1 per cell]
Ga 0.9636 0.3248 0.4864 [2 per cell]
Fe 0.0174 0.0000 0.5409 [1 per cell]
Fe 0.4642 0.3239 0.9662 [2 per cell]
Fe 0.5175 0.0000 0.9137 [1 per cell]
O 0.1823 0.3532 0.2012 [2 per cell]
O 0.2451 0.2981 0.6902 [2 per cell]
O 0.3658 0.0000 0.6009 [1 per cell]
O 0.4276 0.1425 0.0575 [2 per cell]
O 0.4771 0.5000 0.8996 [1 per cell]
O 0.6856 0.3530 0.2577 [2 per cell]
O 0.7484 0.2979 0.7602 [2 per cell]
O 0.8654 0.0000 0.8539 [1 per cell]
O 0.9289 0.1430 0.3981 [2 per cell]
O 0.9769 0.5000 0.5580 [1 per cell]

Calculated values
As for the crystal system: monoclinic. The value obtained for the uncorrected energy is -6.8442 eV/atom.